P.
Compound: LaCo2Re
Source: the Alexandria database
Functional: PBE
Structure: optimized geometry

## Properties
- Mass density: 11.5 g cm⁻³
- Crystal system: tetragonal

Unit cell a=4.9108 b=4.9108 c=4.9108 alpha=131.93 beta=131.93 gamma=70.33
With the nearest neighbours (Å) after each atom.
Fractional positions:
1 La 0.5000 0.5000 0.0000  8 Co 2.83, 4 Re 2.83
2 Co 0.0000 0.0000 0.0000  4 La 2.83, 4 Co 2.83, 4 Re 2.83
3 Re 0.7500 0.2500 0.5000  8 Co 2.83, 4 La 2.83
4 Co 0.2500 0.7500 0.5000  4 Re 2.83, 4 La 2.83, 4 Co 2.83


Q.
Compound: LaCo2Re
Source: the Alexandria database
Functional: PBE
Structure: optimized geometry

## Properties
- Mass density: 11.3 g cm⁻³
- Crystal system: trigonal

Unit cell a=9.1963 b=9.1963 c=9.1963 alpha=18.00 beta=18.00 gamma=18.00
With the nearest neighbours (Å) after each atom.
Fractional positions:
1 La 0.2500 0.2500 0.2500  6 La 2.88, 6 Co 3.09
2 Co 0.0128 0.0128 0.0128  3 Re 2.53
3 Re 0.7500 0.7500 0.7500  6 Co 2.53
4 Co 0.4872 0.4872 0.4872  3 Re 2.53


Q has the most favorable energy; the next structure is 4.3 kJ/mol of atoms above.


P.
Compound: LaCo2Re
Source: the Alexandria database
Functional: PBE
Structure: optimized geometry

## Properties
- Mass density: 11.7 g cm⁻³
- Crystal system: monoclinic

Unit cell a=4.7221 b=4.7221 c=2.8699 alpha=89.86 beta=89.86 gamma=99.40
With the nearest neighbours (Å) after each atom.
Fractional positions:
1 Co 0.0000 0.0000 0.0000  4 Re 2.76-2.77, 4 La 2.76-2.77, 4 Co 2.87-3.05
2 Co 0.5000 0.5000 0.0000  4 La 2.76-2.77, 4 Re 2.76-2.77, 4 Co 2.87-3.05
3 Re 0.0000 0.5000 0.5000  8 Co 2.76-2.77, 2 Re 2.87, 2 La 3.05
4 La 0.5000 0.0000 0.5000  8 Co 2.76-2.77, 2 La 2.87, 2 Re 3.05


Q.
Compound: LaCo2Re
Source: the Alexandria database
Functional: PBE
Structure: optimized geometry

## Properties
- Mass density: 11.4 g cm⁻³
- Crystal system: orthorhombic

Unit cell a=5.6785 b=5.6785 c=5.6785 alpha=151.38 beta=132.44 gamma=56.45
With the nearest neighbours (Å) after each atom.
Fractional positions:
1 Co 0.9989 0.9989 0.0000  4 Co 2.59-2.81, 2 Re 2.60, 4 La 2.69
2 Co 0.7810 0.2810 0.5000  4 Co 2.59-2.81, 4 Re 2.76
3 La 0.5025 0.5025 0.0000  4 Co 2.69, 2 La 2.81
4 Re 0.2176 0.7176 0.5000  6 Co 2.60-2.76, 2 Re 2.81


P has the most favorable energy; the next structure is 3.9 kJ/mol of atoms above.


P.
Compound: LaCo2Re
Source: the Alexandria database
Functional: PBE
Structure: optimized geometry

## Properties
- Mass density: 8.7 g cm⁻³
- Crystal system: tetragonal

Unit cell a=4.6828 b=4.6828 c=8.4283 alpha=73.87 beta=73.87 gamma=90.00
With the nearest neighbours (Å) after each atom.
Fractional positions:
1 Co 0.9266 0.6250 0.2500  2 Re 2.28, 2 Co 2.39
2 Re 0.0000 0.0000 0.0000  4 Co 2.28
3 Co 0.3750 0.1766 0.7500  2 Re 2.28, 2 Co 2.39
4 Co 0.8750 0.0734 0.7500  2 Re 2.28, 2 Co 2.39
5 La 0.5000 0.5000 0.0000  8 Co 3.09-3.43, 4 Re 3.31
6 Co 0.8234 0.1250 0.2500  2 Re 2.28, 2 Co 2.39
7 La 0.2500 0.7500 0.5000  8 Co 3.09-3.43, 4 Re 3.31
8 Re 0.7500 0.2500 0.5000  4 Co 2.28


Q.
Compound: LaCo2Re
Source: the Alexandria database
Functional: PBE
Structure: optimized geometry

## Properties
- Mass density: 10.5 g cm⁻³
- Crystal system: monoclinic

Unit cell a=4.1348 b=3.2770 c=5.3072 alpha=76.12 beta=90.00 gamma=90.00
With the nearest neighbours (Å) after each atom.
Fractional positions:
1 La 0.0000 0.5151 0.4454  6 Co 2.67-2.92
2 Co 0.5000 0.1230 0.2209  2 Re 2.34-2.39, 2 Co 2.55
3 Co 0.0000 0.0993 0.9442  2 Re 2.39, 2 Co 2.55, 1 La 2.67
4 Re 0.5000 0.7626 0.8895  4 Co 2.34-2.39


Q has the most favorable energy; the next structure is 18.1 kJ/mol of atoms above.